Density functional theory data (PBE-GGA) for a relaxed Rb3Y2ZrSe6 crystal.

Lattice parameters (Å, degrees): 7.1762 7.1762 8.3728 98.22 98.22 120.01
Positions (direct):
Rb: 0.1697 0.8303 0.5000
Rb: 0.5000 0.5000 0.5000
Rb: 0.8303 0.1697 0.5000
Zr: 0.0000 0.0000 0.0000
Se: 0.7448 0.7448 0.1966
Se: 0.0651 0.3862 0.1955
Se: 0.6138 0.9349 0.8045
Se: 0.9349 0.6138 0.8045
Se: 0.2552 0.2552 0.8034
Se: 0.3862 0.0651 0.1955
Y: 0.3337 0.6663 0.0000
Y: 0.6663 0.3337 0.0000

Computed properties:
**Density**: 4.64 g/cm³
**Total energy**: -64.2 eV for the cell shown
**Symmetry**: C2/m
**N(E_F)**: 4.743 states/eV/f.u.

Density functional theory data (PBE-GGA) for a relaxed Rb4Y3ZrSe8 crystal.

Lattice parameters (Å, degrees): 8.3502 9.3482 8.3509 116.56 120.00 90.00
Last column: magnetic moment on the atom in μB.
Positions (direct):
Se: 0.7329 0.6983 0.4658  0.00
Se: 0.7740 0.3054 0.0311  0.00
Se: 0.2571 0.3054 0.0311  0.00
Se: 0.7429 0.6946 0.9689  0.00
Se: 0.2671 0.3017 0.5342  0.00
Se: 0.7740 0.3054 0.5480  0.00
Se: 0.2260 0.6946 0.4520  0.00
Se: 0.2260 0.6946 0.9689  0.00
Rb: 0.0000 0.0000 0.5000  0.00
Rb: 0.5000 0.0000 0.5000  0.00
Rb: 0.5000 0.0000 0.0000  0.00
Rb: 0.0000 0.0000 0.0000  0.00
Y: 0.5000 0.5000 0.5000  0.02
Y: 0.5000 0.5000 0.0000  0.02
Y: 0.0000 0.5000 0.5000  0.02
Zr: 0.0000 0.5000 0.0000  0.30

Computed properties:
**Density**: 4.57 g/cm³
**Total energy**: -85.6 eV for the cell shown
**Symmetry**: R-3m
**N(E_F)**: 4.648 states/eV/f.u.

Density functional theory data (PBE-GGA) for a relaxed Rb3Y3ZrSe8 crystal.

Lattice parameters (Å, degrees): 8.2770 8.2762 9.4608 115.97 90.00 120.00
Positions (direct):
Rb: 0.0000 0.5000 0.0000
Rb: 0.5000 0.5000 0.0000
Rb: 0.0000 0.0000 0.0000
Se: 0.7446 0.9670 0.6891
Se: 0.2224 0.9670 0.6891
Se: 0.7776 0.0330 0.3109
Se: 0.2224 0.4449 0.6892
Se: 0.7776 0.5551 0.3108
Se: 0.2680 0.5360 0.3042
Se: 0.2554 0.0330 0.3109
Se: 0.7320 0.4640 0.6958
Zr: 0.0000 0.0000 0.5000
Y: 0.0000 0.5000 0.5000
Y: 0.5000 0.0000 0.5000
Y: 0.5000 0.5000 0.5000

Computed properties:
**Density**: 4.27 g/cm³
**Total energy**: -83.8 eV for the cell shown
**Symmetry**: R-3m

Magnetization: 0.009; 0.594; 0.000 (μB/f.u.)